(1)
Material: As2Rh
Method: DFT, meta-GGA SCAN
State: PBEsol geometry

a = 6.051 Å, b = 6.074 Å, c = 6.153 Å
α = 90.00°, β = 114.48°, γ = 90.00°
Atoms (fractional coordinates):
As 0.339 0.370 0.184
As 0.661 0.870 0.316
As 0.661 0.630 0.816
As 0.339 0.130 0.684
As 0.157 0.630 0.372
As 0.843 0.130 0.128
As 0.843 0.370 0.628
As 0.157 0.870 0.872
Rh 0.272 0.000 0.291
Rh 0.728 0.500 0.209
Rh 0.728 0.000 0.709
Rh 0.272 0.500 0.791

* space-group type: P2_1/c, No. 14
* calculated formation energy: -1.90 eV/f.u.

***

(2)
Material: As5Rh
Method: DFT, meta-GGA SCAN
State: PBEsol geometry

a = 2.932 Å, b = 2.932 Å, c = 12.258 Å
α = 90.00°, β = 90.00°, γ = 90.00°
Atoms (fractional coordinates):
As 0.000 0.000 0.869
As 0.000 0.000 0.131
As 0.500 0.500 0.673
As 0.500 0.500 0.327
As 0.000 0.000 0.500
Rh 0.500 0.500 0.000

* space-group type: P4/mmm, No. 123
* calculated formation energy: 1.18 eV/f.u.
* N(E_F): 3.4 states/eV/cell

***

(3)
Material: AsRh2
Method: DFT, meta-GGA SCAN
State: PBEsol geometry

a = 2.878 Å, b = 5.383 Å, c = 6.208 Å
α = 111.07°, β = 90.00°, γ = 105.50°
Atoms (fractional coordinates):
As 0.802 0.605 0.820
As 0.198 0.395 0.180
Rh 0.133 0.266 0.512
Rh 0.433 0.865 0.149
Rh 0.567 0.135 0.851
Rh 0.867 0.734 0.488

* space-group type: C2/m, No. 12
* calculated formation energy: -0.84 eV/f.u.
* N(E_F): 5.2 states/eV/cell

***

(4)
Material: AsRh2
Method: DFT, meta-GGA SCAN
State: PBEsol geometry

a = 4.004 Å, b = 4.004 Å, c = 4.004 Å
α = 60.00°, β = 60.00°, γ = 60.00°
Atoms (fractional coordinates):
As 0.000 0.000 0.000
Rh 0.750 0.750 0.750
Rh 0.250 0.250 0.250

* space-group type: Fm-3m, No. 225
* calculated formation energy: -1.88 eV/f.u.
* N(E_F): 1.0 states/eV/cell

***

(5)
Material: AsRh2
Method: DFT, meta-GGA SCAN
State: PBEsol geometry

a = 3.942 Å, b = 5.762 Å, c = 7.406 Å
α = 90.00°, β = 90.00°, γ = 90.00°
Atoms (fractional coordinates):
As 0.250 0.766 0.613
As 0.750 0.234 0.387
As 0.250 0.266 0.887
As 0.750 0.734 0.113
Rh 0.250 0.352 0.571
Rh 0.750 0.648 0.429
Rh 0.250 0.852 0.929
Rh 0.750 0.148 0.071
Rh 0.250 0.468 0.179
Rh 0.750 0.532 0.821
Rh 0.250 0.968 0.321
Rh 0.750 0.032 0.679

* space-group type: Pnma, No. 62
* calculated formation energy: -1.49 eV/f.u.
* N(E_F): 8.9 states/eV/cell

***

(6)
Material: As2Rh
Method: DFT, meta-GGA SCAN
State: PBEsol geometry

a = 3.464 Å, b = 3.464 Å, c = 4.712 Å
α = 111.56°, β = 111.56°, γ = 90.00°
Atoms (fractional coordinates):
As 0.661 0.661 0.322
As 0.339 0.339 0.678
Rh 0.000 0.000 0.000

* space-group type: I4/mmm, No. 139
* calculated formation energy: 0.08 eV/f.u.
* N(E_F): 1.5 states/eV/cell

***

(7)
Material: As2Rh
Method: DFT, meta-GGA SCAN
State: PBEsol geometry

a = 3.083 Å, b = 4.167 Å, c = 4.167 Å
α = 90.00°, β = 90.00°, γ = 90.00°
Atoms (fractional coordinates):
As 0.500 0.000 0.500
As 0.500 0.500 0.000
Rh 0.000 0.000 0.000

* space-group type: P4/mmm, No. 123
* calculated formation energy: 0.10 eV/f.u.
* N(E_F): 1.7 states/eV/cell

***

(8)
Material: As2Rh
Method: DFT, meta-GGA SCAN
State: PBEsol geometry

a = 4.192 Å, b = 4.192 Å, c = 4.192 Å
α = 60.00°, β = 60.00°, γ = 60.00°
Atoms (fractional coordinates):
As 0.750 0.750 0.750
As 0.250 0.250 0.250
Rh 0.000 0.000 0.000

* space-group type: Fm-3m, No. 225
* calculated formation energy: -1.20 eV/f.u.
* N(E_F): 1.3 states/eV/cell

***

(9)
Material: As2Rh
Method: DFT, meta-GGA SCAN
State: PBEsol geometry

a = 2.960 Å, b = 3.098 Å, c = 11.385 Å
α = 97.82°, β = 97.47°, γ = 90.00°
Atoms (fractional coordinates):
As 0.058 0.308 0.115
As 0.942 0.692 0.885
As 0.192 0.442 0.383
As 0.808 0.558 0.617
Rh 0.625 0.875 0.250
Rh 0.375 0.125 0.750

* space-group type: Imma, No. 74
* calculated formation energy: -0.57 eV/f.u.
* N(E_F): 3.5 states/eV/cell

***

(10)
Material: AsRuRh
Method: DFT, meta-GGA SCAN
State: PBEsol geometry

a = 2.859 Å, b = 2.859 Å, c = 5.948 Å
α = 90.00°, β = 90.00°, γ = 120.00°
Atoms (fractional coordinates):
Ru 0.667 0.333 0.315
As 0.000 0.000 0.004
Rh 0.333 0.667 0.681

* space-group type: P3m1, No. 156
* calculated formation energy: -0.07 eV/f.u.
* N(E_F): 2.6 states/eV/cell

***

(11)
Material: As2RuRh
Method: DFT, meta-GGA SCAN
State: PBEsol geometry

a = 4.206 Å, b = 4.391 Å, c = 4.206 Å
α = 61.38°, β = 90.00°, γ = 118.62°
Atoms (fractional coordinates):
Ru 0.000 0.000 0.000
As 0.250 0.500 0.250
As 0.750 0.500 0.750
Rh 0.500 0.000 0.500

* energy relative to the lowest polymorph listed for this composition: 0.60 eV per formula unit
* space-group type: I4/mmm, No. 139
* calculated formation energy: -0.24 eV/f.u.
* N(E_F): 3.6 states/eV/cell

***

(12)
Material: AsRu2Rh
Method: DFT, meta-GGA SCAN
State: PBEsol geometry

a = 2.799 Å, b = 4.490 Å, c = 4.633 Å
α = 94.48°, β = 107.58°, γ = 90.00°
Atoms (fractional coordinates):
Ru 0.001 0.012 0.001
Ru 0.734 0.231 0.468
As 0.502 0.508 0.003
Rh 0.264 0.749 0.528

* space-group type: Cm, No. 8
* calculated formation energy: 0.06 eV/f.u.
* N(E_F): 2.9 states/eV/cell

***

(13)
Material: As2RuRh
Method: DFT, meta-GGA SCAN
State: PBEsol geometry

a = 4.385 Å, b = 4.385 Å, c = 4.385 Å
α = 60.00°, β = 60.00°, γ = 60.00°
Atoms (fractional coordinates):
Ru 0.250 0.250 0.250
As 0.000 0.000 0.000
As 0.750 0.750 0.750
Rh 0.500 0.500 0.500

* energy relative to the lowest polymorph listed for this composition: 2.26 eV per formula unit
* space-group type: F-43m, No. 216
* calculated formation energy: 1.42 eV/f.u.
* N(E_F): 3.3 states/eV/cell

***

(14)
Material: As2RuRh
Method: DFT, meta-GGA SCAN
State: PBEsol geometry

a = 2.966 Å, b = 2.966 Å, c = 7.805 Å
α = 79.05°, β = 79.05°, γ = 60.00°
Atoms (fractional coordinates):
Ru 0.000 0.000 0.000
As 0.251 0.251 0.247
As 0.749 0.749 0.753
Rh 0.500 0.500 0.500

* energy relative to the lowest polymorph listed for this composition: 0.00 eV per formula unit
* space-group type: R-3m, No. 166
* calculated formation energy: -0.85 eV/f.u.
* N(E_F): 1.8 states/eV/cell

***

(15)
Material: AsRh2S2
Method: DFT, meta-GGA SCAN
State: PBEsol geometry

a = 3.849 Å, b = 3.849 Å, c = 5.990 Å
α = 108.74°, β = 108.74°, γ = 90.00°
Atoms (fractional coordinates):
As 0.000 0.000 0.000
Rh 0.380 0.380 0.759
Rh 0.620 0.620 0.241
S 0.250 0.750 0.500
S 0.750 0.250 0.500

* uncorrected formation energy: 226.0 meV per atom
* space-group type: I4/mmm, No. 139
* N(E_F): 3.5 states/eV/cell

***

Respective spin magnetization values: 0.0, 0.0, 0.0, 0.0, 0.0, 0.0, 0.0, 0.0, 0.0, 0.0, 0.0, 0.0, 0.0, 0.0, 0.0 μB/f.u..
Respective energy values: -25.35, -22.26, -29.53, -29.87, -29.74, -24.69, -24.68, -25.12, -24.91, -29.62, -27.31, -30.89, -26.89, -27.46, -21.17 eV/atom.